# 1
Here is an optimized crystal structure of Dy4TlRu from Alexandria via LeMat-Bulk. Energies are from PBE.

Calculated values
Total moment, μB per atom: 0.0000

Lattice parameters (Å, degrees): 6.185 9.108 7.808 115.22 99.48 113.37
Fractional coordinates of all 12 atoms:
1 Ru 0.250 0.000 0.000
2 Ru 0.750 0.000 0.000
3 Dy 0.096 0.201 0.845
4 Dy 0.771 0.725 0.664
5 Dy 0.607 0.060 0.336
6 Dy 0.249 0.644 0.845
7 Dy 0.229 0.275 0.336
8 Dy 0.904 0.799 0.155
9 Dy 0.393 0.940 0.664
10 Dy 0.751 0.356 0.155
11 Tl 0.625 0.375 0.751
12 Tl 0.375 0.625 0.249


# 2
Here is an optimized crystal structure of Dy4TlRu2 from Alexandria via LeMat-Bulk. Energies are from PBE.

Calculated values
Total moment, μB per atom: 0.0000

Lattice parameters (Å, degrees): 7.645 7.645 7.645 109.03 110.36 109.03
Fractional coordinates of all 14 atoms:
1 Ru 0.875 0.113 0.488
2 Ru 0.238 0.613 0.125
3 Ru 0.512 0.387 0.625
4 Ru 0.375 0.887 0.762
5 Tl 0.000 0.000 0.000
6 Tl 0.750 0.500 0.250
7 Dy 0.157 0.899 0.400
8 Dy 0.008 0.601 0.752
9 Dy 0.742 0.243 0.843
10 Dy 0.248 0.257 0.850
11 Dy 0.600 0.757 0.498
12 Dy 0.502 0.101 0.258
13 Dy 0.593 0.743 0.992
14 Dy 0.150 0.399 0.407


# 3
Here is an optimized crystal structure of Dy5Tl2Ru2 from Alexandria via LeMat-Bulk. Energies are from PBE.

Calculated values
Total moment, μB per atom: 0.0000

Lattice parameters (Å, degrees): 7.585 7.504 9.040 114.52 90.00 90.00
Fractional coordinates of all 18 atoms:
1 Tl 0.500 0.720 0.441
2 Tl 0.500 0.280 0.559
3 Tl 0.000 0.780 0.559
4 Tl 0.000 0.220 0.441
5 Ru 0.867 0.370 0.000
6 Ru 0.367 0.130 0.000
7 Ru 0.633 0.870 0.000
8 Ru 0.133 0.630 0.000
9 Dy 0.832 0.785 0.230
10 Dy 0.668 0.055 0.770
11 Dy 0.668 0.285 0.230
12 Dy 0.168 0.445 0.230
13 Dy 0.332 0.715 0.770
14 Dy 0.832 0.555 0.770
15 Dy 0.000 0.000 0.000
16 Dy 0.168 0.215 0.770
17 Dy 0.500 0.500 0.000
18 Dy 0.332 0.945 0.230


# 4
Here is an optimized crystal structure of Dy6Tl2Ru from Alexandria via LeMat-Bulk. Energies are from PBE.

Calculated values
Total moment, μB per atom: 0.0000

Lattice parameters (Å, degrees): 5.118 7.251 8.626 114.85 107.25 90.00
Fractional coordinates of all 9 atoms:
1 Tl 0.667 0.667 0.333
2 Tl 0.333 0.333 0.667
3 Dy 0.500 0.224 0.000
4 Dy 0.153 0.914 0.307
5 Dy 0.847 0.607 0.693
6 Dy 0.847 0.086 0.693
7 Dy 0.153 0.393 0.307
8 Dy 0.500 0.776 0.000
9 Ru 0.000 0.000 0.000


| no. | total energy (eV per cell) | energy of formation from the pure elements (eV/atom) | density of states at the Fermi level (states/eV/cell) |
| --- | --- | --- | --- |
| 1 | -64.2 | -0.338 | 11.7 |
| 2 | -81.6 | -0.211 | 8.1 |
| 3 | -99.1 | -0.363 | 10.3 |
| 4 | -42.9 | -0.139 | 8.4 |